This record from Alexandria describes a relaxed Pm6SnIr2 crystal. The functional is PBE-GGA.

The structure in POSCAR format:
```
Pm6SnIr2
1.0
-4.794 4.941 5.397
4.794 -4.941 5.397
4.794 4.941 -5.397
Pm Sn Ir
12 2 4
Cartesian
4.794 2.943 -2.865 Pm
2.795 1.793 0.000 Pm
6.793 1.793 0.000 Pm
1.816 4.941 -1.825 Pm
2.978 0.000 3.572 Pm
0.000 1.998 2.532 Pm
4.794 2.943 2.865 Pm
1.816 4.941 1.825 Pm
2.978 0.000 7.223 Pm
-1.999 3.148 5.397 Pm
1.999 3.148 5.397 Pm
0.000 1.998 8.262 Pm
0.000 0.000 0.000 Sn
0.000 0.000 5.397 Sn
4.794 0.000 1.419 Ir
0.000 3.306 0.000 Ir
0.000 6.575 0.000 Ir
0.000 4.941 3.978 Ir
```

Values from the calculation:
**Raw total energy**: -110.81 eV/cell
**Energy of formation from the pure elements**: -575.0 meV/atom

=====

This record from Alexandria describes a relaxed Pm4SnIr crystal. The functional is PBE-GGA.

The structure in POSCAR format:
```
Pm4SnIr
1.0
0.000 7.022 7.022
7.022 0.000 7.022
7.022 7.022 0.000
Pm Sn Ir
16 4 4
Cartesian
9.134 4.909 4.909 Pm
3.511 3.511 0.788 Pm
3.511 0.788 3.511 Pm
6.233 3.511 3.511 Pm
7.022 7.022 2.701 Pm
7.022 2.701 7.022 Pm
11.342 7.022 7.022 Pm
0.788 3.511 3.511 Pm
3.511 6.233 3.511 Pm
3.511 3.511 6.233 Pm
4.909 9.134 4.909 Pm
4.909 4.909 9.134 Pm
9.134 9.134 9.134 Pm
2.701 7.022 7.022 Pm
7.022 11.342 7.022 Pm
7.022 7.022 11.342 Pm
5.788 5.788 5.788 Sn
8.255 8.255 5.788 Sn
8.255 5.788 8.255 Sn
5.788 8.255 8.255 Sn
12.054 9.011 9.011 Ir
9.011 12.054 9.011 Ir
9.011 9.011 12.054 Ir
12.054 12.054 12.054 Ir
```

Values from the calculation:
**Raw total energy**: -141.21 eV/cell
**Energy of formation from the pure elements**: -572.5 meV/atom
**Energy above the most stable polymorph in this dataset**: 0.0000 eV per atom

=====

This record from Alexandria describes a relaxed PmSnIr crystal. The functional is PBE-GGA.

The structure in POSCAR format:
```
PmSnIr
1.0
-1.696 1.696 5.820
1.696 -1.696 5.820
1.696 1.696 -5.820
Pm Sn Ir
1 1 1
Cartesian
0.000 0.000 0.000 Pm
0.000 0.000 8.265 Sn
0.000 0.000 3.931 Ir
```

Values from the calculation:
**Raw total energy**: -19.00 eV/cell
**Energy of formation from the pure elements**: -462.9 meV/atom
**Energy above the most stable polymorph in this dataset**: 0.3249 eV per atom

=====

This record from Alexandria describes a relaxed Pm3SnIr2 crystal. The functional is PBE-GGA.

The structure in POSCAR format:
```
Pm3SnIr2
1.0
-3.413 6.692 3.600
3.413 -6.692 3.600
3.413 6.692 -3.600
Pm Sn Ir
6 2 4
Cartesian
3.413 -2.988 1.800 Pm
0.000 0.000 1.800 Pm
3.413 2.988 1.800 Pm
0.000 3.703 1.800 Pm
0.000 0.000 5.399 Pm
0.000 9.680 1.800 Pm
3.413 0.000 0.000 Sn
0.000 6.692 0.000 Sn
1.448 1.803 0.000 Ir
1.448 -1.803 3.600 Ir
1.965 8.495 0.000 Ir
1.965 4.889 3.600 Ir
```

Values from the calculation:
**Raw total energy**: -79.01 eV/cell
**Energy of formation from the pure elements**: -587.9 meV/atom

=====

This record from Alexandria describes a relaxed Pm3Sn2Ir2 crystal. The functional is PBE-GGA.

The structure in POSCAR format:
```
Pm3Sn2Ir2
1.0
5.943 0.000 0.000
0.000 8.277 0.000
0.000 0.000 13.979
Pm Sn Ir
12 8 8
Cartesian
0.699 2.026 3.495 Pm
0.699 2.113 10.484 Pm
1.995 5.020 1.305 Pm
1.995 5.020 5.684 Pm
1.995 7.396 8.294 Pm
1.995 7.396 12.674 Pm
3.948 0.882 1.305 Pm
3.948 0.882 5.684 Pm
3.948 3.257 8.294 Pm
3.948 3.257 12.674 Pm
5.244 6.164 3.495 Pm
5.244 6.252 10.484 Pm
1.014 2.069 0.000 Sn
1.014 2.069 6.989 Sn
2.287 4.981 10.484 Sn
2.287 7.435 3.495 Sn
3.656 0.842 10.484 Sn
3.656 3.296 3.495 Sn
4.929 6.208 0.000 Sn
4.929 6.208 6.989 Sn
0.740 4.536 8.302 Ir
0.740 4.536 12.666 Ir
0.740 7.880 1.313 Ir
0.740 7.880 5.677 Ir
5.203 0.397 8.302 Ir
5.203 0.397 12.666 Ir
5.203 3.742 1.313 Ir
5.203 3.742 5.677 Ir
```

Values from the calculation:
**Raw total energy**: -181.27 eV/cell
**Energy of formation from the pure elements**: -762.5 meV/atom

=====

This record from Alexandria describes a relaxed PmSn12Ir4 crystal. The functional is PBE-GGA.

The structure in POSCAR format:
```
PmSn12Ir4
1.0
-4.738 4.738 4.738
4.738 -4.738 4.738
4.738 4.738 -4.738
Pm Sn Ir
1 12 4
Cartesian
0.000 0.000 0.000 Pm
3.204 0.000 1.515 Sn
6.273 0.000 1.515 Sn
4.738 3.223 -1.535 Sn
1.515 3.204 0.000 Sn
3.223 -1.535 4.738 Sn
0.000 1.515 3.204 Sn
4.738 3.223 1.535 Sn
1.515 6.273 0.000 Sn
3.223 1.535 4.738 Sn
0.000 1.515 6.273 Sn
-1.535 4.738 3.223 Sn
1.535 4.738 3.223 Sn
2.369 2.369 -2.369 Ir
2.369 -2.369 2.369 Ir
-2.369 2.369 2.369 Ir
2.369 2.369 2.369 Ir
```

Values from the calculation:
**Raw total energy**: -91.80 eV/cell
**Energy of formation from the pure elements**: -210.4 meV/atom

=====

This record from Alexandria describes a relaxed Pm6Sn2Ir crystal. The functional is PBE-GGA.

The structure in POSCAR format:
```
Pm6Sn2Ir
1.0
4.336 0.000 0.000
0.000 7.273 4.201
0.000 -7.273 4.201
Pm Sn Ir
6 2 1
Cartesian
0.000 0.000 0.000 Pm
0.000 -1.750 5.359 Pm
0.000 1.750 5.359 Pm
2.168 -4.333 3.869 Pm
2.168 0.000 2.972 Pm
2.168 4.333 3.869 Pm
0.000 -2.427 2.171 Sn
0.000 2.427 2.171 Sn
2.168 0.000 6.382 Ir
```

Values from the calculation:
**Raw total energy**: -50.65 eV/cell
**Energy of formation from the pure elements**: -586.8 meV/atom

=====

This record from Alexandria describes a relaxed Pm4SnIr2 crystal. The functional is PBE-GGA.

The structure in POSCAR format:
```
Pm4SnIr2
1.0
0.000 6.675 6.686
4.726 0.000 6.686
4.726 6.675 0.000
Pm Sn Ir
8 2 4
Cartesian
2.720 2.885 2.885 Pm
6.731 6.222 6.228 Pm
4.369 7.127 2.885 Pm
4.369 2.885 7.144 Pm
5.083 10.464 6.228 Pm
5.083 6.222 10.487 Pm
2.720 7.127 7.144 Pm
6.731 10.464 10.487 Pm
3.544 5.006 5.015 Sn
5.907 8.343 8.358 Sn
0.000 0.000 0.000 Ir
2.363 3.337 0.000 Ir
2.363 0.000 3.343 Ir
0.000 3.337 3.343 Ir
```

Values from the calculation:
**Raw total energy**: -88.54 eV/cell
**Energy of formation from the pure elements**: -506.5 meV/atom